Arrangement A

Material: HfSiTeN2
Method: DFT, PBE
State: relaxed Values from VASP.

```
&SYSTEM
  ibrav = 0, nat = 5, ntyp = 4
/
ATOMIC_SPECIES
Si 28.09 Si.upf
Te 127.60 Te.upf
Hf 178.49 Hf.upf
N 14.01 N.upf
CELL_PARAMETERS angstrom
-1.6656 -2.0122 3.1893
2.5344 -3.1790 -0.6821
4.0274 2.4306 3.6368
ATOMIC_POSITIONS crystal
Si 0.5000 0.5000 0.5000
Te 0.0000 0.0000 0.5000
Hf 0.0000 0.0000 0.0000
N 0.0000 0.5000 0.0000
N 0.5000 0.0000 0.0000
```

Properties
As for the density of states at the Fermi level: 4.00 states/eV per cell. Its crystal system is tetragonal. As for the space-group type: P4/mmm.

---

Arrangement B

Material: HfSiTeN2
Method: DFT, PBE
State: relaxed Values from VASP.

```
&SYSTEM
  ibrav = 0, nat = 5, ntyp = 4
/
ATOMIC_SPECIES
Si 28.09 Si.upf
Te 127.60 Te.upf
Hf 178.49 Hf.upf
N 14.01 N.upf
CELL_PARAMETERS angstrom
-0.6914 0.6969 -3.7417
-0.2497 -3.8030 -0.6622
-4.9942 0.1620 0.9530
ATOMIC_POSITIONS crystal
Si 0.0000 0.0000 0.0000
Te 0.0000 0.0000 0.5000
Hf 0.5000 0.5000 0.5000
N 0.0000 0.5000 0.0000
N 0.5000 0.0000 0.0000
```

Properties
As for the density of states at the Fermi level: 2.79 states/eV per cell. Its crystal system is tetragonal. As for the space-group type: P4/mmm.

---

Which is the most stable structure? arrangement A is the most stable.

---

Arrangement A

Material: HfSn2N2
Method: DFT, PBE
State: relaxed Values from VASP.

```
&SYSTEM
  ibrav = 0, nat = 5, ntyp = 3
/
ATOMIC_SPECIES
Hf 178.49 Hf.upf
Sn 118.71 Sn.upf
N 14.01 N.upf
CELL_PARAMETERS angstrom
5.8168 0.0000 0.0000
0.0000 5.8168 0.0000
2.9084 2.9084 2.7691
ATOMIC_POSITIONS crystal
Hf 0.0000 0.0000 0.0000
Sn 0.7500 0.2500 0.5000
Sn 0.2500 0.7500 0.5000
N 0.3935 0.3935 0.2130
N 0.6065 0.6065 0.7870
```

Properties
As for the density of states at the Fermi level: 1.84 states/eV per cell. Its crystal system is tetragonal. As for the space-group type: I4/mmm.

---

Arrangement B

Material: HfSn2N2
Method: DFT, PBE
State: relaxed Values from VASP.

```
&SYSTEM
  ibrav = 0, nat = 10, ntyp = 3
/
ATOMIC_SPECIES
Hf 178.49 Hf.upf
Sn 118.71 Sn.upf
N 14.01 N.upf
CELL_PARAMETERS angstrom
6.3561 0.0000 0.0000
0.0000 6.3561 0.0000
0.0000 0.0000 4.1583
ATOMIC_POSITIONS crystal
Hf 0.0000 0.0000 0.0000
Hf 0.5000 0.5000 0.0000
Sn 0.1589 0.6589 0.5000
Sn 0.6589 0.8411 0.5000
Sn 0.8411 0.3411 0.5000
Sn 0.3411 0.1589 0.5000
N 0.2476 0.7476 0.0000
N 0.7476 0.7524 0.0000
N 0.7524 0.2524 0.0000
N 0.2524 0.2476 0.0000
```

Properties
As for the density of states at the Fermi level: 2.17 states/eV per cell. Its crystal system is tetragonal. As for the space-group type: P4/mbm.

---

Which is the most stable structure? arrangement B is the most stable.

---

Arrangement A

Material: HfSnTeN2
Method: DFT, PBE
State: relaxed Values from VASP.

```
&SYSTEM
  ibrav = 0, nat = 5, ntyp = 4
/
ATOMIC_SPECIES
Te 127.60 Te.upf
Hf 178.49 Hf.upf
Sn 118.71 Sn.upf
N 14.01 N.upf
CELL_PARAMETERS angstrom
-2.5350 -1.8014 -2.8862
-2.4670 -1.5055 3.1064
-3.2499 4.9021 -0.2052
ATOMIC_POSITIONS crystal
Te 0.0000 0.0000 0.5000
Hf 0.0000 0.0000 0.0000
Sn 0.5000 0.5000 0.5000
N 0.0000 0.5000 0.0000
N 0.5000 0.0000 0.0000
```

Properties
As for the density of states at the Fermi level: 3.37 states/eV per cell. Its crystal system is tetragonal. As for the space-group type: P4/mmm.

---

Arrangement B

Material: HfSnTeN2
Method: DFT, PBE
State: relaxed Values from VASP.

```
&SYSTEM
  ibrav = 0, nat = 5, ntyp = 4
/
ATOMIC_SPECIES
Te 127.60 Te.upf
Hf 178.49 Hf.upf
Sn 118.71 Sn.upf
N 14.01 N.upf
CELL_PARAMETERS angstrom
-0.9899 0.9780 -3.9045
-0.5320 -4.0173 -0.8714
-5.4434 0.3998 1.4802
ATOMIC_POSITIONS crystal
Te 0.0000 0.0000 0.5000
Hf 0.5000 0.5000 0.5000
Sn 0.0000 0.0000 0.0000
N 0.0000 0.5000 0.0000
N 0.5000 0.0000 0.0000
```

Properties
As for the density of states at the Fermi level: 3.68 states/eV per cell. Its crystal system is tetragonal. As for the space-group type: P4/mmm.

---

Which is the most stable structure? arrangement A is the most stable.

---

Arrangement A

Material: SrHf3N
Method: DFT, PBE
State: relaxed Values from VASP.

```
&SYSTEM
  ibrav = 0, nat = 5, ntyp = 3
/
ATOMIC_SPECIES
Sr 87.62 Sr.upf
Hf 178.49 Hf.upf
N 14.01 N.upf
CELL_PARAMETERS angstrom
5.0793 0.0000 0.0000
0.0000 5.0793 0.0000
0.0000 0.0000 5.0793
ATOMIC_POSITIONS crystal
Sr 0.0000 0.0000 0.0000
Hf 0.0000 0.5000 0.0000
Hf 0.0000 0.0000 0.5000
Hf 0.5000 0.0000 0.0000
N 0.5000 0.5000 0.5000
```

Properties
As for the density of states at the Fermi level: 7.12 states/eV per cell. Its crystal system is cubic. As for the space-group type: Pm-3m.

---

Arrangement B

Material: SrHf3N
Method: DFT, PBE
State: relaxed Values from VASP.

```
&SYSTEM
  ibrav = 0, nat = 5, ntyp = 3
/
ATOMIC_SPECIES
Sr 87.62 Sr.upf
Hf 178.49 Hf.upf
N 14.01 N.upf
CELL_PARAMETERS angstrom
4.6643 0.0000 0.0000
0.0000 4.6643 0.0000
0.0000 0.0000 4.6643
ATOMIC_POSITIONS crystal
Sr 0.5000 0.5000 0.5000
Hf 0.0000 0.5000 0.0000
Hf 0.0000 0.0000 0.5000
Hf 0.5000 0.0000 0.0000
N 0.0000 0.0000 0.0000
```

Properties
As for the density of states at the Fermi level: 4.73 states/eV per cell. Its crystal system is cubic. As for the space-group type: Pm-3m.

---

Which is the most stable structure? arrangement B is the most stable.

---

Arrangement A

Material: Hf3TaN
Method: DFT, PBE
State: relaxed Values from VASP.

```
&SYSTEM
  ibrav = 0, nat = 10, ntyp = 3
/
ATOMIC_SPECIES
Hf 178.49 Hf.upf
Ta 180.95 Ta.upf
N 14.01 N.upf
CELL_PARAMETERS angstrom
4.4368 0.0000 0.0000
2.2184 5.1208 0.0947
2.2184 1.2120 7.8265
ATOMIC_POSITIONS crystal
Hf 0.8751 0.5756 0.6741
Hf 0.1249 0.4244 0.3259
Hf 0.6350 0.6645 0.0655
Hf 0.3650 0.3355 0.9345
Hf 0.8847 0.0400 0.1906
Hf 0.1153 0.9600 0.8094
Ta 0.3589 0.8276 0.4546
Ta 0.6411 0.1724 0.5454
N 0.1233 0.6893 0.0641
N 0.8767 0.3107 0.9359
```

Properties
As for the density of states at the Fermi level: 6.41 states/eV per cell. Its crystal system is monoclinic. As for the space-group type: C2/m.

---

Arrangement B

Material: Hf3TaN
Method: DFT, PBE
State: relaxed Values from VASP.

```
&SYSTEM
  ibrav = 0, nat = 5, ntyp = 3
/
ATOMIC_SPECIES
N 14.01 N.upf
Hf 178.49 Hf.upf
Ta 180.95 Ta.upf
CELL_PARAMETERS angstrom
4.4504 0.0000 0.0000
0.0000 4.4504 0.0000
0.0000 0.0000 4.4504
ATOMIC_POSITIONS crystal
N 0.0000 0.0000 0.0000
Hf 0.0000 0.5000 0.0000
Hf 0.0000 0.0000 0.5000
Hf 0.5000 0.0000 0.0000
Ta 0.5000 0.5000 0.5000
```

Properties
As for the density of states at the Fermi level: 3.17 states/eV per cell. Its crystal system is cubic. As for the space-group type: Pm-3m.

---

Which is the most stable structure? arrangement B is the most stable.

---

Arrangement A

Material: HfTa3N
Method: DFT, PBE
State: relaxed Values from VASP.

```
&SYSTEM
  ibrav = 0, nat = 5, ntyp = 3
/
ATOMIC_SPECIES
N 14.01 N.upf
Hf 178.49 Hf.upf
Ta 180.95 Ta.upf
CELL_PARAMETERS angstrom
-1.2549 -3.1621 3.5144
4.4115 0.5240 2.0467
-1.6996 3.6948 2.7175
ATOMIC_POSITIONS crystal
N 0.5000 0.5000 0.5000
Hf 0.0000 0.0000 0.0000
Ta 0.0000 0.5000 0.0000
Ta 0.0000 0.0000 0.5000
Ta 0.5000 0.0000 0.0000
```

Properties
As for the density of states at the Fermi level: 5.15 states/eV per cell. Its crystal system is cubic. As for the space-group type: Pm-3m.

---

Arrangement B

Material: HfTa3N
Method: DFT, PBE
State: relaxed Values from VASP.

```
&SYSTEM
  ibrav = 0, nat = 5, ntyp = 3
/
ATOMIC_SPECIES
N 14.01 N.upf
Hf 178.49 Hf.upf
Ta 180.95 Ta.upf
CELL_PARAMETERS angstrom
-1.1773 1.1316 4.0173
-4.0907 0.5153 -1.3440
-0.8281 -4.1545 0.9275
ATOMIC_POSITIONS crystal
N 0.0000 0.0000 0.0000
Hf 0.5000 0.5000 0.5000
Ta 0.0000 0.5000 0.0000
Ta 0.0000 0.0000 0.5000
Ta 0.5000 0.0000 0.0000
```

Properties
As for the density of states at the Fermi level: 3.76 states/eV per cell. Its crystal system is cubic. As for the space-group type: Pm-3m.

---

Which is the most stable structure? arrangement B is the most stable.